{
  "formula": "LiMg3Cd",
  "functional": "GGA-PBE",
  "state": "relaxed",
  "lattice": [[5.276, 0.000, 0.000], [0.000, 5.276, 0.000], [0.000, 0.000, 5.276]],
  "species": ["Li", "Mg", "Mg", "Mg", "Cd"],
  "fractional_positions": [[0.500, 0.500, 0.500], [0.000, 0.000, 0.500], [0.500, 0.000, 0.000], [0.000, 0.500, 0.000], [0.000, 0.000, 0.000]],
  "total_energy_ev_per_cell": -6.31,
  "relative_energy_ev_per_atom": 0.3710,
  "m_tot_mub_per_atom": 0.00,
  "dos_ef_per_ev_cell": 1.9,
  "formation_energy_mev_per_atom": 261
}



{
  "formula": "YZrSe2",
  "functional": "GGA-PBE",
  "state": "relaxed",
  "lattice": [[-3.493, 2.383, -2.769], [-0.063, -0.568, -5.022], [-3.712, -2.634, -2.199]],
  "species": ["Y", "Zr", "Se", "Se"],
  "fractional_positions": [[0.500, 0.500, 0.500], [0.750, 0.750, 0.750], [0.250, 0.250, 0.250], [0.000, 0.000, 0.000]],
  "total_energy_ev_per_cell": -23.05,
  "relative_energy_ev_per_atom": 1.1881,
  "m_tot_mub_per_atom": 0.69,
  "dos_ef_per_ev_cell": 1.5,
  "e_form_raw_ev_per_atom": -0.268
}



{
  "formula": "PrSm3Sn12",
  "functional": "GGA-PBE",
  "state": "relaxed",
  "lattice": [[-1.629, 4.486, -0.248], [-1.116, -0.659, -4.600], [-17.178, -5.959, 5.020]],
  "species": ["Sn", "Sn", "Sn", "Sn", "Sn", "Sn", "Sn", "Sn", "Sn", "Sn", "Sn", "Sn", "Sm", "Sm", "Sm", "Pr"],
  "fractional_positions": [[0.500, 0.000, 0.624], [0.000, 0.500, 0.127], [0.500, 0.000, 0.376], [0.500, 0.500, 0.500], [0.000, 0.500, 0.873], [0.000, 0.500, 0.376], [0.000, 0.500, 0.624], [0.500, 0.000, 0.873], [0.500, 0.500, 0.748], [0.500, 0.500, 0.252], [0.500, 0.000, 0.127], [0.500, 0.500, 0.000], [0.000, 0.000, 0.251], [0.000, 0.000, 0.749], [0.000, 0.000, 0.500], [0.000, 0.000, 0.000]],
  "total_energy_ev_per_cell": -74.77,
  "m_tot_mub_per_atom": 0.00,
  "dos_ef_per_ev_cell": 9.3,
  "formation_energy_mev_per_atom": -487
}



{
  "formula": "SrLi2Au",
  "functional": "GGA-PBE",
  "state": "relaxed",
  "lattice": [[3.786, 0.000, 0.000], [0.000, 3.788, 0.000], [0.000, 0.000, 6.960]],
  "species": ["Sr", "Au", "Li", "Li"],
  "fractional_positions": [[0.000, 0.000, 0.539], [0.500, 0.500, 0.801], [0.000, 0.000, 0.985], [0.500, 0.500, 0.175]],
  "total_energy_ev_per_cell": -10.09,
  "relative_energy_ev_per_atom": 0.1017,
  "m_tot_mub_per_atom": 0.00,
  "dos_ef_per_ev_cell": 2.2,
  "formation_energy_mev_per_atom": -325
}



{
  "formula": "MnRuRh",
  "functional": "GGA-PBE",
  "state": "relaxed",
  "lattice": [[4.206, 0.000, 0.000], [-2.103, 3.642, 0.000], [0.000, 0.000, 2.669]],
  "species": ["Rh", "Mn", "Ru"],
  "fractional_positions": [[0.667, 0.333, 0.333], [0.000, 0.000, 0.833], [0.333, 0.667, 0.833]],
  "total_energy_ev_per_cell": -25.49,
  "relative_energy_ev_per_atom": 0.1529,
  "m_tot_mub_per_atom": 0.58,
  "dos_ef_per_ev_cell": 2.8,
  "formation_energy_mev_per_atom": 102
}



{
  "formula": "KAlRu2",
  "functional": "GGA-PBE",
  "state": "relaxed",
  "lattice": [[5.407, 0.039, 0.000], [-2.068, 4.996, 0.000], [0.000, 0.000, 2.569]],
  "species": ["Al", "Ru", "Ru", "K"],
  "fractional_positions": [[0.500, 0.000, 0.500], [0.500, 0.500, 0.000], [0.000, 0.000, 0.000], [0.000, 0.500, 0.500]],
  "total_energy_ev_per_cell": -19.58,
  "m_tot_mub_per_atom": 0.00,
  "dos_ef_per_ev_cell": 5.0,
  "formation_energy_mev_per_atom": 953
}



{
  "formula": "ErTi2Co9",
  "functional": "GGA-PBE",
  "state": "relaxed",
  "lattice": [[4.594, 0.000, 1.367], [2.094, 4.089, 1.367], [0.041, 0.025, 8.264]],
  "species": ["Co", "Co", "Co", "Co", "Co", "Co", "Co", "Co", "Co", "Ti", "Ti", "Er"],
  "fractional_positions": [[0.922, 0.410, 0.259], [0.664, 0.664, 0.008], [0.410, 0.922, 0.259], [0.410, 0.410, 0.259], [0.590, 0.590, 0.741], [0.590, 0.078, 0.741], [0.500, 0.500, 0.500], [0.078, 0.590, 0.741], [0.336, 0.336, 0.992], [0.859, 0.859, 0.424], [0.141, 0.141, 0.576], [0.000, 0.000, 0.000]],
  "total_energy_ev_per_cell": -86.99,
  "m_tot_mub_per_atom": 0.79,
  "dos_ef_per_ev_cell": 15.9,
  "formation_energy_mev_per_atom": -224
}



{
  "formula": "OsRh4Br",
  "functional": "GGA-PBE",
  "state": "relaxed",
  "lattice": [[-5.120, 0.309, 0.525], [-2.343, 4.587, -0.237], [-2.942, 1.185, -4.065]],
  "species": ["Os", "Rh", "Rh", "Rh", "Rh", "Br"],
  "fractional_positions": [[0.000, 0.000, 0.000], [0.375, 0.876, 0.375], [0.375, 0.375, 0.876], [0.876, 0.375, 0.375], [0.375, 0.375, 0.375], [0.750, 0.750, 0.750]],
  "total_energy_ev_per_cell": -36.22,
  "m_tot_mub_per_atom": 0.30,
  "dos_ef_per_ev_cell": 10.2,
  "e_form_raw_ev_per_atom": 1.015
}